Entry 1:
This record from the Alexandria database describes KEuZrGeO6 after structural relaxation. The functional is GGA-PBE.

As for the energy relative to the elements, uncorrected: -2381 meV per atom. Its total magnetic moment is 6.00 μB/f.u. The calculation puts the mass density at 5.85 g cm⁻³. The total energy is -312.37 eV for the cell shown.

Cell lengths 8.000, 8.000, 8.000 Å; angles 90.00, 90.00, 90.00 degrees
Space group F-43m (No. 216)
Asymmetric unit:
K  0.000  0.000  0.000 x4
Eu  0.000  0.000  0.500 x4
Zr  0.250  0.250  0.250 x4
Ge  0.250  0.250  0.750 x4
O  0.012  0.250  0.750 x24



Entry 2:
This record from the Alexandria database describes K2EuGeSe5 after structural relaxation. The functional is GGA-PBE.

As for the energy relative to the elements, uncorrected: -1035 meV per atom. Its total magnetic moment is 7.01 μB/f.u. The calculation puts the mass density at 4.28 g cm⁻³. The total energy is -175.32 eV for the cell shown.

Cell lengths 11.924, 10.137, 8.967 Å; angles 90.00, 90.08, 90.00 degrees
Space group P2_1/c (No. 14)
Asymmetric unit:
K  0.031  0.208  0.013 x4
K  0.203  0.543  0.870 x4
Eu  0.483  0.223  0.108 x4
Ge  0.254  0.017  0.804 x4
Se  0.071  0.509  0.201 x4
Se  0.262  0.648  0.500 x4
Se  0.289  0.237  0.882 x4
Se  0.410  0.530  0.139 x4
Se  0.424  0.567  0.674 x4



Entry 3:
This record from the Alexandria database describes LaEuGe2 after structural relaxation. The functional is GGA-PBE.

For the offset from the most stable computed form, the calculation gives 0.0 meV per atom. Its total magnetic moment is 6.93 μB/f.u. The calculation puts the mass density at 7.06 g cm⁻³. The total energy is -26.95 eV for the cell shown. For the formation energy, the calculation gives -628 meV/atom.

Cell lengths 3.501, 3.501, 8.364 Å; angles 90.00, 90.00, 90.00 degrees
Space group P4/mmm (No. 123)
Asymmetric unit:
La  0.000  0.000  0.000 x1
Eu  0.000  0.000  0.500 x1
Ge  0.500  0.500  0.251 x2